No. 1
Here is Sn5I3Br12 after structural relaxation from Alexandria. Energies are from GGA-PBE.

Properties
The value obtained for the density of states at the Fermi level is 1.430 states/eV/atom. The value obtained for the formation energy without anion corrections is -0.351 eV/atom.

Lattice parameters (Å, degrees): 18.832 18.832 18.832 90.00 90.00 90.00
Space group Ia-3d (No. 230)
One atom of each set of equivalent atoms:
Sn  0.000  0.000  0.000
Sn  0.000  0.250  0.375
I  0.000  0.250  0.125
Br  0.047  0.055  0.641


No. 2
Here is SnIBr2 after structural relaxation from Alexandria. Energies are from GGA-PBE.

Properties
The value obtained for the density of states at the Fermi level is 0.926 states/eV/atom. The value obtained for the formation energy without anion corrections is -0.352 eV/atom.

Lattice parameters (Å, degrees): 10.094 10.094 6.040 90.00 90.00 90.00
Space group I-42d (No. 122)
One atom of each set of equivalent atoms:
Sn  0.000  0.000  0.000
I  0.000  0.000  0.500
Br  0.120  0.750  0.125


No. 3
Here is Sn3IBr after structural relaxation from Alexandria. Energies are from GGA-PBE.

Properties
The value obtained for the density of states at the Fermi level is 1.790 states/eV/atom. The value obtained for the formation energy without anion corrections is 0.561 eV/atom.

Lattice parameters (Å, degrees): 5.790 5.790 5.790 90.00 90.00 90.00
Space group Pm-3m (No. 221)
One atom of each set of equivalent atoms:
Sn  0.000  0.000  0.500
I  0.500  0.500  0.500
Br  0.000  0.000  0.000


No. 4
Here is Sn3I5Br after structural relaxation from Alexandria. Energies are from GGA-PBE.

Properties
The value obtained for the formation energy without anion corrections is -0.513 eV/atom.

Lattice parameters (Å, degrees): 10.780 31.494 4.650 90.00 90.00 90.00
Space group Cmmm (No. 65)
One atom of each set of equivalent atoms:
Sn  0.000  0.000  0.000
Sn  0.000  0.159  0.500
Sn  0.000  0.331  0.000
Sn  0.000  0.500  0.500
I  0.000  0.228  0.000
I  0.000  0.431  0.000
I  0.203  0.000  0.500
I  0.203  0.333  0.500
Br  0.000  0.096  0.000


No. 5
Here is SnI4Br after structural relaxation from Alexandria. Energies are from GGA-PBE.

Properties
The value obtained for the density of states at the Fermi level is 0.608 states/eV/atom. The value obtained for the formation energy without anion corrections is -0.221 eV/atom.

Lattice parameters (Å, degrees): 11.587 10.224 15.771 90.00 129.06 90.00
Space group P2_1/c (No. 14)
One atom of each set of equivalent atoms:
Sn  0.204  0.246  0.454
I  0.041  0.749  0.058
I  0.118  0.246  0.250
I  0.382  0.028  0.574
I  0.386  0.039  0.075
Br  0.362  0.744  0.560


No. 6
Here is Sn6I7Br5 after structural relaxation from Alexandria. Energies are from GGA-PBE.

Properties
The value obtained for the formation energy without anion corrections is -0.582 eV/atom.

Lattice parameters (Å, degrees): 13.794 10.825 10.108 90.00 90.00 90.00
Space group Amm2 (No. 38)
One atom of each set of equivalent atoms:
Sn  0.000  0.000  0.000
Sn  0.166  0.000  0.497
Sn  0.327  0.000  0.994
Sn  0.500  0.000  0.472
I  0.000  0.205  0.503
I  0.332  0.204  0.482
I  0.500  0.000  0.791
Br  0.157  0.000  0.194
Br  0.172  0.000  0.794
Br  0.500  0.000  0.184


No. 7
Here is Sn2IBr4 after structural relaxation from Alexandria. Energies are from GGA-PBE.

Properties
The value obtained for the formation energy without anion corrections is -0.606 eV/atom.

Lattice parameters (Å, degrees): 8.380 8.814 9.836 108.52 100.75 107.88
Space group P1 (No. 1)
One atom of each set of equivalent atoms:
Sn  0.000  0.000  0.000
Sn  0.014  0.487  0.575
Sn  0.495  0.991  0.014
Sn  0.955  0.539  0.167
I  0.139  0.787  0.483
I  0.757  0.022  0.522
Br  0.152  0.357  0.234
Br  0.255  0.115  0.876
Br  0.272  0.943  0.186
Br  0.333  0.629  0.812
Br  0.690  0.375  0.262
Br  0.752  0.901  0.230
Br  0.764  0.137  0.822
Br  0.846  0.629  0.756


No. 8
Here is SnIBr2 after structural relaxation from Alexandria. Energies are from GGA-PBE.

Properties
The value obtained for the density of states at the Fermi level is 1.609 states/eV/atom. The value obtained for the formation energy without anion corrections is 0.049 eV/atom.

Lattice parameters (Å, degrees): 3.3574 3.3574 42.1280 90.00 90.00 120.00
Space group R-3m (No. 166, hexagonal axes)
One atom of each set of equivalent atoms:
Sn  0.0000  0.0000  0.0000
I  0.0000  0.0000  0.5000
Br  0.0000  0.0000  0.0674


No. 9
Here is Sn3IBr after structural relaxation from Alexandria. Energies are from GGA-PBE.

Properties
The value obtained for the density of states at the Fermi level is 1.153 states/eV/atom. The value obtained for the formation energy without anion corrections is 0.686 eV/atom.

Lattice parameters (Å, degrees): 5.980 5.980 5.980 90.00 90.00 90.00
Space group Pm-3m (No. 221)
One atom of each set of equivalent atoms:
Sn  0.000  0.000  0.500
I  0.000  0.000  0.000
Br  0.500  0.500  0.500


No. 10
Here is Sn2IBr8 after structural relaxation from Alexandria. Energies are from GGA-PBE.

Properties
The value obtained for the density of states at the Fermi level is 0.358 states/eV/atom. The value obtained for the formation energy without anion corrections is -0.497 eV/atom.

Lattice parameters (Å, degrees): 9.316 11.635 10.730 90.00 109.47 90.00
Space group C2/m (No. 12)
One atom of each set of equivalent atoms:
Sn  0.202  0.000  0.283
I  0.000  0.500  0.000
Br  0.080  0.000  0.823
Br  0.189  0.327  0.788
Br  0.232  0.500  0.473


Number 1: total magnetic moment 0.135 μB per atom. Number 2: total magnetic moment 0.000 μB per atom. Number 3: total magnetic moment 0.371 μB per atom. Number 4: total magnetic moment 0.000 μB per atom. Number 5: total magnetic moment 0.000 μB per atom. Number 6: total magnetic moment 0.000 μB per atom. Number 7: total magnetic moment 0.000 μB per atom. Number 8: total magnetic moment 0.000 μB per atom. Number 9: total magnetic moment 0.000 μB per atom. Number 10: total magnetic moment 0.092 μB per atom.